Computed, not measured: a relaxed PmDyCo2Ge2 crystal at the PBE level of DFT.

```
6
Lattice="4.192 0.000 0.000 -2.096 3.631 0.000 0.000 0.000 7.387" Properties=species:S:1:pos:R:3 pbc="T T T"
Pm 0.000 0.000 0.000
Dy 0.000 0.000 3.694
Co 0.000 2.420 5.378
Co 2.096 1.210 2.009
Ge 0.000 2.420 1.949
Ge 2.096 1.210 5.438
```

Space-group type   P-3m1, No. 164
Size of the total moment   0.000 μB/atom
Energy of formation   -0.577 eV/atom
DFT total energy   -6.043 eV/atom
ρ   8.43 Mg/m³

***

Computed, not measured: a relaxed DyCoGe3Ru crystal at the PBE level of DFT.

```
12
Lattice="3.697 -5.684 0.000 3.697 5.684 0.000 0.000 0.000 5.599" Properties=species:S:1:pos:R:3 pbc="T T T"
Dy 3.697 3.145 4.199
Dy 3.697 -3.145 1.400
Co 3.697 5.273 1.400
Co 3.697 -5.273 4.199
Ge 3.697 3.080 1.400
Ge 1.829 0.000 0.000
Ge 1.829 0.000 2.799
Ge 5.564 0.000 0.000
Ge 5.564 0.000 2.799
Ge 3.697 -3.080 4.199
Ru 3.697 0.796 1.400
Ru 3.697 -0.796 4.199
```

Space-group type   Cmcm, No. 63
Size of the total moment   0.000 μB/atom
Energy of formation   -0.203 eV/atom
DFT total energy   -6.009 eV/atom
ρ   7.63 Mg/m³

***

Computed, not measured: a relaxed DyCo2SiGe2 crystal at the PBE level of DFT.

```
6
Lattice="4.250 0.000 0.000 0.000 4.250 0.000 0.000 0.000 5.422" Properties=species:S:1:pos:R:3 pbc="T T T"
Dy 0.000 0.000 0.000
Co 0.000 2.125 2.711
Co 2.125 0.000 2.711
Si 0.000 0.000 2.711
Ge 2.125 2.125 1.289
Ge 2.125 2.125 4.133
```

Space-group type   P4/mmm, No. 123
Size of the total moment   0.000 μB/atom
ΔE_f (raw)   -0.263 eV per atom
DFT total energy   -5.841 eV/atom
ρ   7.69 Mg/m³

***

Computed, not measured: a relaxed DyCoTcGe3 crystal at the PBE level of DFT.

```
12
Lattice="3.817 -5.431 0.000 3.817 5.431 0.000 0.000 0.000 5.628" Properties=species:S:1:pos:R:3 pbc="T T T"
Dy 3.817 2.786 4.221
Dy 3.817 -2.786 1.407
Co 3.817 5.097 1.407
Co 3.817 -5.097 4.221
Tc 3.817 0.575 1.407
Tc 3.817 -0.575 4.221
Ge 3.817 2.900 1.407
Ge 1.841 0.000 0.000
Ge 1.841 0.000 2.814
Ge 5.793 0.000 0.000
Ge 5.793 0.000 2.814
Ge 3.817 -2.900 4.221
```

Space-group type   Cmcm, No. 63
Size of the total moment   0.000 μB/atom
Energy of formation   -0.187 eV/atom
DFT total energy   -6.174 eV/atom
ρ   7.65 Mg/m³

***

Computed, not measured: a relaxed DyTmCo2Ge2 crystal at the PBE level of DFT.

```
6
Lattice="4.182 0.000 0.000 -2.091 3.622 0.000 0.000 0.000 7.026" Properties=species:S:1:pos:R:3 pbc="T T T"
Dy 0.000 0.000 0.000
Tm 0.000 0.000 3.513
Co 0.000 2.415 5.116
Co 2.091 1.207 1.910
Ge 0.000 2.415 1.833
Ge 2.091 1.207 5.193
```

Space-group type   P-3m1, No. 164
Size of the total moment   0.000 μB/atom
Energy of formation   -0.610 eV/atom
DFT total energy   -6.030 eV/atom
ρ   9.28 Mg/m³

***

Computed, not measured: a relaxed DyZn2Co2Ge crystal at the PBE level of DFT.

```
6
Lattice="4.338 0.000 0.000 0.000 4.338 0.000 0.000 0.000 5.557" Properties=species:S:1:pos:R:3 pbc="T T T"
Dy 0.000 0.000 0.000
Zn 2.169 2.169 1.316
Zn 2.169 2.169 4.241
Co 0.000 2.169 2.778
Co 2.169 0.000 2.778
Ge 0.000 0.000 2.778
```

Space-group type   P4/mmm, No. 123
Size of the total moment   0.217 μB/atom
Energy of formation   -0.059 eV/atom
DFT total energy   -4.389 eV/atom
ρ   7.68 Mg/m³

***

Computed, not measured: a relaxed DyCo2H8 crystal at the PBE level of DFT.

```
11
Lattice="4.048 0.000 0.000 0.000 4.048 0.000 0.000 0.000 4.726" Properties=species:S:1:pos:R:3 pbc="T T T"
Dy 0.000 0.000 0.000
Co 0.000 2.024 2.363
Co 2.024 0.000 2.363
H 1.145 1.145 1.494
H 1.145 1.145 3.232
H 1.145 2.904 1.494
H 1.145 2.904 3.232
H 2.904 1.145 1.494
H 2.904 1.145 3.232
H 2.904 2.904 1.494
H 2.904 2.904 3.232
```

Space-group type   P4/mmm, No. 123
Size of the total moment   0.066 μB/atom
DFT total energy   -4.257 eV/atom
ρ   6.18 Mg/m³

***

Computed, not measured: a relaxed Dy2CoH crystal at the PBE level of DFT.

```
4
Lattice="1.872 1.081 5.990 -1.872 1.081 5.990 0.000 -2.162 5.990" Properties=species:S:1:pos:R:3 pbc="T T T"
Dy 0.000 0.000 4.429
Dy 0.000 0.000 13.541
Co 0.000 0.000 0.000
H 0.000 0.000 8.985
```

Space-group type   R-3m, No. 166
Size of the total moment   0.000 μB/atom
DFT total energy   -5.122 eV/atom
ρ   8.79 Mg/m³

***

Computed, not measured: a relaxed Dy3Co5H12 crystal at the PBE level of DFT.

```
80
Lattice="-5.561 5.561 5.561 5.561 -5.561 5.561 5.561 5.561 -5.561" Properties=species:S:1:pos:R:3 pbc="T T T"
Dy 2.780 1.390 0.000
Dy 5.561 2.780 -1.390
Dy 1.390 0.000 2.780
Dy 6.951 0.000 2.780
Dy 0.000 2.780 1.390
Dy 2.780 -1.390 5.561
Dy 2.780 6.951 0.000
Dy 5.561 2.780 4.171
Dy -1.390 5.561 2.780
Dy 4.171 5.561 2.780
Dy 0.000 2.780 6.951
Dy 2.780 4.171 5.561
Co 0.000 0.000 0.000
Co 2.780 2.780 -2.780
Co 2.780 -2.780 2.780
Co 5.561 0.000 0.000
Co 8.341 1.390 0.000
Co 5.561 -2.780 4.171
Co 4.171 5.561 -2.780
Co 4.171 0.000 2.780
Co 2.780 4.171 0.000
Co 5.561 2.780 1.390
Co -2.780 2.780 2.780
Co 0.000 5.561 0.000
Co 0.000 0.000 5.561
Co 2.780 2.780 2.780
Co 0.000 2.780 4.171
Co 2.780 1.390 5.561
Co 1.390 5.561 2.780
Co 1.390 0.000 8.341
Co 0.000 8.341 1.390
Co -2.780 4.171 5.561
H 1.560 -0.399 0.542
H 6.782 3.322 -3.180
H 7.121 0.399 0.542
H 6.782 -2.239 3.180
H 5.162 -0.542 1.560
H 8.741 -1.221 2.239
H 0.542 1.560 -0.399
H 7.800 2.381 -1.221
H 3.322 3.180 -1.221
H 5.019 1.560 0.399
H -0.399 0.542 1.560
H 3.180 -1.221 3.322
H 5.162 5.019 -1.560
H 3.180 1.221 2.239
H 3.322 -3.180 6.782
H 5.019 -1.560 5.162
H 2.239 3.180 1.221
H 6.103 4.001 0.399
H 3.180 6.782 -2.239
H 5.162 0.542 4.001
H 1.560 5.162 -0.542
H 6.782 2.239 2.381
H 1.221 2.239 3.180
H 1.560 0.399 5.019
H 4.001 5.162 0.542
H 4.340 3.322 2.381
H -1.221 3.322 3.180
H 4.001 0.399 6.103
H 0.399 5.019 1.560
H 2.381 -1.221 7.800
H -0.542 1.560 5.162
H 3.322 2.381 4.340
H 0.542 7.121 0.399
H 2.239 8.741 -1.221
H 2.381 4.340 3.322
H 0.399 0.542 7.121
H 2.381 6.782 2.239
H 5.960 5.019 4.001
H 0.542 4.001 5.162
H 2.239 2.381 6.782
H -2.239 3.180 6.782
H 5.019 4.001 5.960
H -3.180 6.782 3.322
H 0.399 6.103 4.001
H -1.221 7.800 2.381
H -1.560 5.162 5.019
H -1.221 2.239 8.741
H 4.001 5.960 5.019
```

Space-group type   Ia-3d, No. 230
Size of the total moment   0.000 μB/atom
DFT total energy   -4.712 eV/atom
ρ   7.67 Mg/m³

***

Computed, not measured: a relaxed Dy2CoH crystal at the PBE level of DFT.

```
4
Lattice="1.792 1.035 6.703 -1.792 1.035 6.703 0.000 -2.070 6.703" Properties=species:S:1:pos:R:3 pbc="T T T"
Dy 0.000 0.000 0.000
Dy 0.000 0.000 3.414
Co 0.000 0.000 11.757
H 0.000 0.000 8.323
```

Space-group type   R3m, No. 160
Size of the total moment   0.000 μB/atom
DFT total energy   -5.024 eV/atom
ρ   8.57 Mg/m³

***

Computed, not measured: a relaxed DyCoH2 crystal at the PBE level of DFT.

```
4
Lattice="1.897 1.095 3.827 -1.897 1.095 3.827 0.000 -2.191 3.827" Properties=species:S:1:pos:R:3 pbc="T T T"
Dy 0.000 0.000 0.000
Co 0.000 0.000 5.741
H 0.000 0.000 4.187
H 0.000 0.000 7.295
```

Space-group type   R-3m, No. 166
Size of the total moment   0.039 μB/atom
DFT total energy   -4.869 eV/atom
ρ   7.77 Mg/m³

***

Computed, not measured: a relaxed Dy12Co3H5 crystal at the PBE level of DFT.

```
80
Lattice="-7.434 7.434 7.434 7.434 -7.434 7.434 7.434 7.434 -7.434" Properties=species:S:1:pos:R:3 pbc="T T T"
Dy 2.314 -0.495 0.927
Dy 8.838 4.645 -4.212
Dy 6.939 -0.927 2.314
Dy 11.647 -1.403 2.790
Dy 9.748 0.495 0.927
Dy 8.838 -2.790 4.212
Dy 0.927 2.314 -0.495
Dy 10.224 3.222 -1.403
Dy 4.645 4.212 -1.403
Dy 6.507 2.314 0.495
Dy -0.495 0.927 2.314
Dy 4.212 -1.403 4.645
Dy 6.939 6.507 -2.314
Dy 4.212 1.403 2.790
Dy 6.507 -2.314 6.939
Dy 4.645 -4.212 8.838
Dy 2.790 4.212 1.403
Dy 8.362 5.121 0.495
Dy 2.314 6.939 -0.927
Dy 8.838 2.790 3.222
Dy 4.212 8.838 -2.790
Dy 6.939 0.927 5.121
Dy 1.403 2.790 4.212
Dy 2.314 0.495 6.507
Dy 5.121 6.939 0.927
Dy 6.031 4.645 3.222
Dy 0.495 6.507 2.314
Dy 3.222 -1.403 10.224
Dy -1.403 4.645 4.212
Dy 5.121 0.495 8.362
Dy -0.927 2.314 6.939
Dy 4.645 3.222 6.031
Dy 2.790 11.647 -1.403
Dy 0.927 9.748 0.495
Dy 3.222 6.031 4.645
Dy 0.495 0.927 9.748
Dy 3.222 8.838 2.790
Dy 7.929 6.507 5.121
Dy 0.927 5.121 6.939
Dy 2.790 3.222 8.838
Dy -2.790 4.212 8.838
Dy 6.507 5.121 7.929
Dy -1.403 10.224 3.222
Dy -2.314 6.939 6.507
Dy -4.212 8.838 4.645
Dy 0.495 8.362 5.121
Dy -1.403 2.790 11.647
Dy 5.121 7.929 6.507
Co 3.717 1.859 0.000
Co 7.434 3.717 -1.859
Co 1.859 0.000 3.717
Co 9.293 0.000 3.717
Co 0.000 3.717 1.859
Co 3.717 -1.859 7.434
Co 3.717 9.293 0.000
Co 7.434 3.717 5.576
Co -1.859 7.434 3.717
Co 5.576 7.434 3.717
Co 0.000 3.717 9.293
Co 3.717 5.576 7.434
H 0.000 0.000 0.000
H 3.717 3.717 -3.717
H 3.717 -3.717 3.717
H 7.434 0.000 0.000
H 11.152 1.859 0.000
H 7.434 -3.717 5.576
H 5.576 7.434 -3.717
H 5.576 0.000 3.717
H 3.717 5.576 0.000
H 7.434 3.717 1.859
H -3.717 3.717 3.717
H 0.000 7.434 0.000
H 0.000 0.000 7.434
H 3.717 3.717 3.717
H 0.000 3.717 5.576
H 3.717 1.859 7.434
H 1.859 7.434 3.717
H 1.859 0.000 11.152
H 0.000 11.152 1.859
H -3.717 5.576 7.434
```

Space-group type   Ia-3d, No. 230
Size of the total moment   0.000 μB/atom
DFT total energy   -4.878 eV/atom
ρ   8.62 Mg/m³

***

Computed, not measured: a relaxed Dy4Co2H crystal at the PBE level of DFT.

```
7
Lattice="6.857 -1.874 0.000 6.857 1.874 0.000 -1.028 0.000 5.593" Properties=species:S:1:pos:R:3 pbc="T T T"
Dy 0.824 0.000 1.563
Dy 4.522 0.000 0.986
Dy 8.163 0.000 4.607
Dy 11.861 0.000 4.030
Co 3.002 0.000 3.493
Co 9.684 0.000 2.100
H 6.857 0.000 0.000
```

Space-group type   C2/m, No. 12
Size of the total moment   0.000 μB/atom
DFT total energy   -5.397 eV/atom
ρ   8.88 Mg/m³

***

Computed, not measured: a relaxed DyCo2H8 crystal at the PBE level of DFT.

```
11
Lattice="2.442 -3.897 0.000 2.442 3.897 0.000 -0.085 0.000 3.631" Properties=species:S:1:pos:R:3 pbc="T T T"
Dy 0.000 0.000 0.000
Co 2.399 1.363 1.815
Co 2.399 -1.363 1.815
H 0.810 1.117 1.849
H 2.442 1.528 0.000
H 0.810 -1.117 1.849
H 2.326 0.000 0.930
H 2.472 0.000 2.701
H 3.989 1.117 1.782
H 2.442 -1.528 0.000
H 3.989 -1.117 1.782
```

Space-group type   C2/m, No. 12
Size of the total moment   0.000 μB/atom
DFT total energy   -4.312 eV/atom
ρ   6.93 Mg/m³

***

Computed, not measured: a relaxed Dy2CoH crystal at the PBE level of DFT.

```
4
Lattice="3.180 0.000 0.000 0.000 3.180 0.000 0.000 0.000 6.897" Properties=species:S:1:pos:R:3 pbc="T T T"
Dy 0.000 0.000 1.703
Dy 0.000 0.000 5.194
Co 1.590 1.590 0.000
H 1.590 1.590 3.449
```

Space-group type   P4/mmm, No. 123
Size of the total moment   0.096 μB/atom
DFT total energy   -4.950 eV/atom
ρ   9.16 Mg/m³

***

Computed, not measured: a relaxed DyCoH4 crystal at the PBE level of DFT.

```
12
Lattice="2.377 -4.327 0.000 2.377 4.327 0.000 -1.296 0.000 5.047" Properties=species:S:1:pos:R:3 pbc="T T T"
Dy 1.405 3.138 3.785
Dy 2.053 -3.138 1.262
Co 1.405 0.400 3.785
Co 2.053 -0.400 1.262
H -0.054 0.903 3.435
H 0.594 -0.903 0.912
H 2.260 1.008 0.234
H 1.847 1.008 2.289
H 1.611 -1.008 2.757
H 1.199 -1.008 4.813
H 2.864 0.903 4.135
H 3.512 -0.903 1.612
```

Space-group type   C2/c, No. 15
Size of the total moment   0.000 μB/atom
DFT total energy   -4.519 eV/atom
ρ   7.21 Mg/m³

***

Computed, not measured: a relaxed DyCoH6 crystal at the PBE level of DFT.

```
8
Lattice="2.136 1.233 3.633 -2.136 1.233 3.633 0.000 -2.466 3.633" Properties=species:S:1:pos:R:3 pbc="T T T"
Dy 0.000 0.000 0.000
Co 0.000 0.000 5.450
H -1.104 -0.637 4.623
H 0.000 -1.275 6.276
H -1.104 0.637 6.276
H 1.104 -0.637 4.623
H 0.000 1.275 4.623
H 1.104 0.637 6.276
```

Space-group type   R-3m, No. 166
Size of the total moment   0.000 μB/atom
DFT total energy   -4.330 eV/atom
ρ   6.58 Mg/m³

***

Computed, not measured: a relaxed Dy2CoH8 crystal at the PBE level of DFT.

```
11
Lattice="6.645 -1.756 0.000 6.645 1.756 0.000 -1.263 0.000 3.907" Properties=species:S:1:pos:R:3 pbc="T T T"
Dy 1.731 0.000 0.560
Dy 10.295 0.000 3.347
Co 6.013 0.000 1.953
H 12.921 0.000 1.133
H -0.895 0.000 2.773
H 2.219 0.000 2.879
H 5.096 0.000 0.657
H 4.514 0.000 2.471
H 7.512 0.000 1.436
H 6.930 0.000 3.250
H 9.807 0.000 1.028
```

Space-group type   C2/m, No. 12
Size of the total moment   0.000 μB/atom
DFT total energy   -4.252 eV/atom
ρ   7.14 Mg/m³